[1]
This record from OQMD describes an optimized crystal structure of CoBiOsW. The functional is PBE.

The calculation puts the total magnetic moment at 4.42 μB per cell. For the mass density, the calculation gives 16.32 g/cm3. The calculation puts the distance to the lowest polymorph of the same formula at 37 meV per atom. For the total energy, the calculation gives -7.960 eV/atom.

It has space group F-43m (No. 216), with a = 6.3936 Å, b = 6.3936 Å, c = 6.3936 Å, α = 90.00°, β = 90.00° and γ = 90.00°. Symmetry generates all atoms from Co at (0.0000, 0.0000, 0.0000), Bi at (0.2500, 0.2500, 0.7500), Os at (0.2500, 0.2500, 0.2500) and W at (0.0000, 0.0000, 0.5000).

=====

[2]
This record from OQMD describes an optimized crystal structure of PrLuPt2. The functional is PBE.

The calculation puts the total magnetic moment at 0.00 μB per cell. The value obtained for the formation energy is -1195.1 meV per atom. For the mass density, the calculation gives 12.77 g/cm3. The calculation puts the distance to the lowest polymorph of the same formula at 32 meV per atom. For the total energy, the calculation gives -6.548 eV/atom.

It has space group Pmc2_1 (No. 26), with a = 4.5563 Å, b = 5.6229 Å, c = 7.1692 Å, α = 90.00°, β = 90.00° and γ = 90.00°. Symmetry generates all atoms from Pr at (0.0000, 0.1090, 0.0000), Lu at (0.5000, 0.3909, 0.6356), Pt at (0.0000, 0.4093, 0.3640) and Pt at (0.5000, 0.1037, 0.2761).